1.
{"formula": "Pm6Pr12Dy", "functional": "PBE", "state": "relaxed", "relative_energy_mev_per_atom": 0, "formation_enthalpy_0k_mev_per_atom": 118.0, "lattice": [[8.807, 0.371, -1.516], [-1.859, 8.617, -1.516], [0.287, 0.371, 8.932]], "species": ["Pr", "Pr", "Pr", "Pr", "Pr", "Pr", "Pr", "Pr", "Pr", "Pr", "Pr", "Pr", "Pm", "Pm", "Pm", "Pm", "Pm", "Pm", "Dy"], "frac_coords": [[0.000, 0.738, 0.262], [0.417, 0.416, 0.830], [0.262, 0.738, 0.000], [0.583, 0.584, 0.170], [0.584, 0.170, 0.583], [0.738, 0.000, 0.262], [0.170, 0.583, 0.584], [0.830, 0.417, 0.416], [0.262, 0.000, 0.738], [0.738, 0.262, 0.000], [0.000, 0.262, 0.738], [0.416, 0.830, 0.417], [0.861, 0.594, 0.861], [0.139, 0.139, 0.406], [0.406, 0.139, 0.139], [0.139, 0.406, 0.139], [0.861, 0.861, 0.594], [0.594, 0.861, 0.861], [0.000, 0.000, 0.000]]}

2.
{"formula": "LiCoSb2", "functional": "PBE", "state": "relaxed", "relative_energy_mev_per_atom": 150, "formation_energy_uncorrected_ev_per_fu": -0.01, "lattice": [[-7.991, 2.797, -1.178], [-0.755, -5.045, -6.858], [-5.198, -2.896, -2.624]], "species": ["Co", "Co", "Sb", "Sb", "Sb", "Sb", "Li", "Li"], "frac_coords": [[0.000, 0.000, 0.000], [0.750, 0.250, 0.500], [0.747, 0.125, 0.250], [0.375, 0.253, 0.750], [0.875, 0.997, 0.750], [0.003, 0.625, 0.250], [0.250, 0.750, 0.500], [0.500, 0.500, 0.000]]}

3.
{"formula": "Li2ZnPS4", "functional": "PBE", "state": "relaxed", "formation_energy_uncorrected_ev_per_fu": -5.34, "lattice": [[-5.459, -0.019, 0.780], [-0.601, -4.971, -2.734], [3.389, -0.406, 5.338]], "species": ["S", "S", "S", "S", "Li", "Li", "P", "Zn"], "frac_coords": [[0.617, 0.614, 0.698], [0.107, 0.113, 0.734], [0.834, 0.395, 0.228], [0.374, 0.822, 0.228], [0.240, 0.238, 0.476], [0.498, 0.994, 0.981], [0.726, 0.727, 0.465], [0.992, 0.483, 0.964]]}

4.
{"formula": "Cu2BrCl", "functional": "PBE", "state": "relaxed", "relative_energy_mev_per_atom": 222, "formation_energy_uncorrected_ev_per_fu": -0.33, "lattice": [[-3.319, 3.703, -2.065], [-3.365, -2.335, 3.495], [4.265, 3.281, -0.193]], "species": ["Br", "Cu", "Cu", "Cl"], "frac_coords": [[0.750, 0.250, 0.500], [0.487, 0.487, 0.000], [0.013, 0.013, 0.000], [0.250, 0.750, 0.500]]}